! La2Nd2Tl | Alexandria via LeMat-Bulk | PBE | relaxed; values from VASP
! ΔE_f = -138 meV per atom
! Calculated volume = 34.1 Å³/atom
! Offset from the most stable computed form = 15 meV/atom
&SYSTEM
  ibrav = 0, nat = 5, ntyp = 3
/
ATOMIC_SPECIES
La 138.91 La.upf
Nd 144.24 Nd.upf
Tl 204.38 Tl.upf
ATOMIC_POSITIONS angstrom
La 0.0007 0.0000 1.8911
La 6.5853 0.0000 4.1708
Nd 0.0057 0.0000 5.8094
Nd 6.5802 0.0000 0.2525
Tl 3.2930 0.0000 3.0309
CELL_PARAMETERS angstrom
4.9352 -2.8522 0.0000
4.9352 2.8522 0.0000
-3.2843 0.0000 6.0619